[1]
Computed, not measured: a geometry-optimized InHg4 structure at the PBEsol level of DFT.

Computed properties:
V = 23.68 A^3/atom
magnetization = 0.0 μB/f.u.
formation energy from the elements = -0.017 eV per atom
D(E_F) = 2.6 states/eV per cell

a b c (Å): 7.462 7.462 4.254
angles (deg): 90.00 90.00 90.00
Space group I4/m (No. 87)
Inequivalent atoms, fractional coordinates:
In 0.000 0.000 0.000 [2 per cell]
Hg 0.100 0.302 0.500 [8 per cell]



[2]
Computed, not measured: a geometry-optimized BaCuPt2 structure at the PBEsol level of DFT.

Computed properties:
V = 23.16 A^3/atom
magnetization = 0.0 μB/f.u.
formation energy from the elements = -0.402 eV per atom
D(E_F) = 7.8 states/eV per cell

a b c (Å): 4.4340 4.4340 16.3255
angles (deg): 90.00 90.00 120.00
Space group R-3m (No. 166, hexagonal axes)
Inequivalent atoms, fractional coordinates:
Ba 0.0000 0.0000 0.0000 [3 per cell]
Cu 0.0000 0.0000 0.5000 [3 per cell]
Pt 0.0000 0.0000 0.1846 [6 per cell]



[3]
Computed, not measured: a geometry-optimized TlHgSb structure at the PBEsol level of DFT.

Computed properties:
V = 26.62 A^3/atom
magnetization = 0.0 μB/f.u.
formation energy without anion corrections = 0.06 eV/atom
D(E_F) = 5.7 states/eV per cell

a b c (Å): 4.184 4.652 16.410
angles (deg): 90.00 90.00 90.00
Space group Fmm2 (No. 42)
Inequivalent atoms, fractional coordinates:
Tl 0.000 0.000 0.000 [4 per cell]
Hg 0.000 0.000 0.664 [4 per cell]
Sb 0.000 0.000 0.329 [4 per cell]